# SrCa2Tb (GGA-PBE, relaxed)
# Density of states at the Fermi level   20.404 states/eV per cell
# Calculated formation energy   0.116 eV/atom
# Calculated total energy   -29.5 eV/cell
# Energy above the most stable polymorph in this dataset   0.014 eV per atom
data_SrCa2Tb
_chemical_formula_sum 'Sr3 Ca6 Tb3'
_space_group_name_H-M_alt 'R 3 m'
_space_group_IT_number 160
_space_group_name_Hall 'R 3 -2"'
_cell_length_a 3.8525
_cell_length_b 3.8525
_cell_length_c 38.4768
_cell_angle_alpha 90.00
_cell_angle_beta 90.00
_cell_angle_gamma 120.00
loop_
_atom_site_label
_atom_site_type_symbol
_atom_site_fract_x
_atom_site_fract_y
_atom_site_fract_z
Sr1 Sr 0.0000 0.0000 0.0000
Ca1 Ca 0.0000 0.0000 0.5784
Ca2 Ca 0.0000 0.0000 0.7553
Tb1 Tb 0.0000 0.0000 0.1671

# Sr2CaTb (GGA-PBE, relaxed)
# Density of states at the Fermi level   3.890 states/eV per cell
# Calculated formation energy   0.175 eV/atom
# Calculated total energy   -9.3 eV/cell
# Energy above the most stable polymorph in this dataset   0.027 eV per atom
data_Sr2CaTb
_chemical_formula_sum 'Sr2 Ca1 Tb1'
_space_group_name_H-M_alt 'P 4/m m m'
_space_group_IT_number 123
_space_group_name_Hall '-P 4 2'
_cell_length_a 6.255
_cell_length_b 6.255
_cell_length_c 4.383
_cell_angle_alpha 90.00
_cell_angle_beta 90.00
_cell_angle_gamma 90.00
loop_
_atom_site_label
_atom_site_type_symbol
_atom_site_fract_x
_atom_site_fract_y
_atom_site_fract_z
Sr1 Sr 0.000 0.500 0.000
Ca1 Ca 0.000 0.000 0.500
Tb1 Tb 0.500 0.500 0.500